# Sm3Y2Hg2 | the Alexandria database | PBE | relaxed
# total magnetic moment = 0.2 μB per cell
# crystal system = orthorhombic
# calculated formation energy = -0.107 eV/atom
# ΔE to the lowest computed polymorph = 0.145 eV/atom
# density of states at the Fermi level = 1.24 states/eV per atom
data_Sm3Y2Hg2
_cell_length_a 4.9175
_cell_length_b 23.3563
_cell_length_c 3.5326
_cell_angle_alpha 90.00
_cell_angle_beta 90.00
_cell_angle_gamma 90.00
_symmetry_space_group_name_H-M 'C m m m'
_symmetry_Int_Tables_number 65
_symmetry_space_group_name_Hall '-C 2 2'
loop_
_atom_site_label
_atom_site_fract_x
_atom_site_fract_y
_atom_site_fract_z
Sm1 0.0000 0.0000 0.0000
Sm2 0.0000 0.1411 0.0000
Y1 0.0000 0.2913 0.5000
Hg1 0.0000 0.4293 0.5000

# BaYTlRu2 | the Alexandria database | PBE | relaxed
# total magnetic moment = 0.0 μB per cell
# crystal system = tetragonal
# calculated formation energy = 1.741 eV/atom
# density of states at the Fermi level = 0.51 states/eV per atom
data_BaYTlRu2
_cell_length_a 4.9961
_cell_length_b 4.9961
_cell_length_c 5.6576
_cell_angle_alpha 90.00
_cell_angle_beta 90.00
_cell_angle_gamma 90.00
_symmetry_space_group_name_H-M 'P 4/m m m'
_symmetry_Int_Tables_number 123
_symmetry_space_group_name_Hall '-P 4 2'
loop_
_atom_site_label
_atom_site_fract_x
_atom_site_fract_y
_atom_site_fract_z
Ba1 0.0000 0.0000 0.0000
Y1 0.0000 0.0000 0.5000
Tl1 0.5000 0.5000 0.5000
Ru1 0.0000 0.5000 0.0000

# CeNd4Ho10 | the Alexandria database | PBE | relaxed
# total magnetic moment = 0.0 μB per cell
# crystal system = tetragonal
# calculated formation energy = 0.259 eV/atom
# density of states at the Fermi level = 1.27 states/eV per atom
data_CeNd4Ho10
_cell_length_a 11.2070
_cell_length_b 11.2070
_cell_length_c 7.9842
_cell_angle_alpha 90.00
_cell_angle_beta 90.00
_cell_angle_gamma 90.00
_symmetry_space_group_name_H-M 'I 4/m m m'
_symmetry_Int_Tables_number 139
_symmetry_space_group_name_Hall '-I 4 2'
loop_
_atom_site_label
_atom_site_fract_x
_atom_site_fract_y
_atom_site_fract_z
Ce1 0.0000 0.0000 0.0000
Nd1 0.2261 0.2261 0.0000
Ho1 0.0000 0.2061 0.2942
Ho2 0.0000 0.5000 0.2500

# MnHgTeI2 | the Alexandria database | PBE | relaxed
# formation energy without anion corrections = 0.325 eV per atom
# total magnetic moment = 0.1 μB per cell
# crystal system = tetragonal
# ΔE to the lowest computed polymorph = 0.000 eV/atom
# density of states at the Fermi level = 1.14 states/eV per atom
data_MnHgTeI2
_cell_length_a 5.6319
_cell_length_b 5.6319
_cell_length_c 4.8751
_cell_angle_alpha 90.00
_cell_angle_beta 90.00
_cell_angle_gamma 90.00
_symmetry_space_group_name_H-M 'P 4/m m m'
_symmetry_Int_Tables_number 123
_symmetry_space_group_name_Hall '-P 4 2'
loop_
_atom_site_label
_atom_site_fract_x
_atom_site_fract_y
_atom_site_fract_z
Mn1 0.0000 0.0000 0.0000
Hg1 0.5000 0.5000 0.5000
Te1 0.0000 0.0000 0.5000
I1 0.0000 0.5000 0.0000

# Pm6Sm12Tm | the Alexandria database | PBE | relaxed
# total magnetic moment = 0.0 μB per cell
# crystal system = trigonal
# calculated formation energy = 0.137 eV/atom
# ΔE to the lowest computed polymorph = 0.000 eV/atom
# density of states at the Fermi level = 1.64 states/eV per atom
data_Pm6Sm12Tm
_cell_length_a 12.1781
_cell_length_b 12.1781
_cell_length_c 15.2493
_cell_angle_alpha 90.00
_cell_angle_beta 90.00
_cell_angle_gamma 120.00
_symmetry_space_group_name_H-M 'R -3'
_symmetry_Int_Tables_number 148
_symmetry_space_group_name_Hall '-R 3'
loop_
_atom_site_label
_atom_site_fract_x
_atom_site_fract_y
_atom_site_fract_z
Pm1 0.0132 0.5903 0.1848
Sm1 0.0043 0.1732 0.6900
Sm2 0.0470 0.1947 0.9162
Tm1 0.0000 0.0000 0.5000

# YZn2B | the Alexandria database | PBE | relaxed
# total magnetic moment = 0.0 μB per cell
# crystal system = tetragonal
# calculated formation energy = 0.175 eV/atom
# density of states at the Fermi level = 0.25 states/eV per atom
data_YZn2B
_cell_length_a 4.5046
_cell_length_b 4.5046
_cell_length_c 14.4425
_cell_angle_alpha 90.00
_cell_angle_beta 90.00
_cell_angle_gamma 90.00
_symmetry_space_group_name_H-M 'I 41/a m d'
_symmetry_Int_Tables_number 141
loop_
_symmetry_equiv_pos_as_xyz
'x,y,z'
'-x,-y,-z'
'-y+1/4,x+3/4,z+1/4'
'y+1/4,-x+3/4,-z+1/4'
'-x+1/2,-y,z+1/2'
'x+1/2,y,-z+1/2'
'y+1/4,-x+1/4,z+3/4'
'-y+1/4,x+1/4,-z+3/4'
'x,-y,-z'
'-x,y,z'
'-y+1/4,-x+1/4,-z+3/4'
'y+1/4,x+1/4,z+3/4'
'-x+1/2,y,-z+1/2'
'x+1/2,-y,z+1/2'
'y+1/4,x+3/4,-z+1/4'
'-y+1/4,-x+3/4,z+1/4'
'x+1/2,y+1/2,z+1/2'
'-x+1/2,-y+1/2,-z+1/2'
'-y+3/4,x+1/4,z+3/4'
'y+3/4,-x+1/4,-z+3/4'
'-x,-y+1/2,z'
'x,y+1/2,-z'
'y+3/4,-x+3/4,z+1/4'
'-y+3/4,x+3/4,-z+1/4'
'x+1/2,-y+1/2,-z+1/2'
'-x+1/2,y+1/2,z+1/2'
'-y+3/4,-x+3/4,-z+1/4'
'y+3/4,x+3/4,z+1/4'
'-x,y+1/2,-z'
'x,-y+1/2,z'
'y+3/4,x+1/4,-z+3/4'
'-y+3/4,-x+1/4,z+3/4'
loop_
_atom_site_label
_atom_site_fract_x
_atom_site_fract_y
_atom_site_fract_z
Y1 0.0000 0.2500 0.3750
Zn1 0.0000 0.0000 0.0000
B1 0.0000 0.2500 0.8750

# CaZrC3 | the Alexandria database | PBE | relaxed
# total magnetic moment = 0.0 μB per cell
# crystal system = cubic
# calculated formation energy = 2.442 eV/atom
# ΔE to the lowest computed polymorph = 1.184 eV/atom
# density of states at the Fermi level = 0.44 states/eV per atom
data_CaZrC3
_cell_length_a 4.1414
_cell_length_b 4.1414
_cell_length_c 4.1414
_cell_angle_alpha 90.00
_cell_angle_beta 90.00
_cell_angle_gamma 90.00
_symmetry_space_group_name_H-M 'P m -3 m'
_symmetry_Int_Tables_number 221
_symmetry_space_group_name_Hall '-P 4 2 3'
loop_
_atom_site_label
_atom_site_fract_x
_atom_site_fract_y
_atom_site_fract_z
Ca1 0.0000 0.0000 0.0000
Zr1 0.5000 0.5000 0.5000
C1 0.0000 0.0000 0.5000

# CaV3Ge | the Alexandria database | PBE | relaxed
# total magnetic moment = 2.3 μB per cell
# crystal system = cubic
# calculated formation energy = 0.830 eV/atom
# ΔE to the lowest computed polymorph = 0.000 eV/atom
# density of states at the Fermi level = 1.90 states/eV per atom
data_CaV3Ge
_cell_length_a 4.6813
_cell_length_b 4.6813
_cell_length_c 4.6813
_cell_angle_alpha 90.00
_cell_angle_beta 90.00
_cell_angle_gamma 90.00
_symmetry_space_group_name_H-M 'P m -3 m'
_symmetry_Int_Tables_number 221
_symmetry_space_group_name_Hall '-P 4 2 3'
loop_
_atom_site_label
_atom_site_fract_x
_atom_site_fract_y
_atom_site_fract_z
Ca1 0.0000 0.0000 0.0000
V1 0.0000 0.5000 0.5000
Ge1 0.5000 0.5000 0.5000